1.
Material: Al2Fe2Bi2O9
Method: DFT, PBE with a Hubbard U
State: relaxed

a b c (Å): 7.968 8.471 5.961
angles (deg): 90.00 90.00 90.00
Element x y z (fractional)
Al 0.142 0.157 0.000
Al 0.358 0.657 0.000
Al 0.642 0.343 0.000
Al 0.858 0.843 0.000
Fe 0.000 0.500 0.238
Fe 0.000 0.500 0.762
Fe 0.500 0.000 0.238
Fe 0.500 0.000 0.762
Bi 0.184 0.818 0.500
Bi 0.316 0.318 0.500
Bi 0.684 0.682 0.500
Bi 0.816 0.182 0.500
O 0.000 0.000 0.000
O 0.121 0.281 0.247
O 0.121 0.281 0.753
O 0.147 0.587 0.000
O 0.155 0.558 0.500
O 0.345 0.058 0.500
O 0.353 0.087 0.000
O 0.379 0.781 0.247
O 0.379 0.781 0.753
O 0.500 0.500 0.000
O 0.621 0.219 0.247
O 0.621 0.219 0.753
O 0.647 0.913 0.000
O 0.655 0.942 0.500
O 0.845 0.442 0.500
O 0.853 0.413 0.000
O 0.879 0.719 0.247
O 0.879 0.719 0.753

Values from the calculation:
- Uncorrected energy: -6.66 eV/atom
- Energy above the lowest structure with this stoichiometry: 0.000 eV/atom
- Space-group type: No. 55
- Size of the total moment: 20.0 μB per cell

2.
Material: Al2Fe2Bi2O9
Method: DFT, PBE with a Hubbard U
State: relaxed

a b c (Å): 7.987 8.409 5.892
angles (deg): 90.00 90.00 90.00
Element x y z (fractional)
Al 0.000 0.000 0.243
Al 0.000 0.000 0.757
Al 0.500 0.500 0.243
Al 0.500 0.500 0.757
Fe 0.153 0.332 0.000
Fe 0.347 0.832 0.000
Fe 0.653 0.168 0.000
Fe 0.847 0.668 0.000
Bi 0.171 0.666 0.500
Bi 0.329 0.166 0.500
Bi 0.671 0.834 0.500
Bi 0.829 0.334 0.500
O 0.000 0.500 0.000
O 0.126 0.910 0.000
O 0.129 0.195 0.258
O 0.129 0.195 0.742
O 0.141 0.928 0.500
O 0.359 0.428 0.500
O 0.371 0.695 0.258
O 0.371 0.695 0.742
O 0.374 0.410 0.000
O 0.500 0.000 0.000
O 0.626 0.590 0.000
O 0.629 0.305 0.258
O 0.629 0.305 0.742
O 0.641 0.572 0.500
O 0.859 0.072 0.500
O 0.871 0.805 0.258
O 0.871 0.805 0.742
O 0.874 0.090 0.000

Values from the calculation:
- Uncorrected energy: -6.63 eV/atom
- Energy above the lowest structure with this stoichiometry: 0.030 eV/atom
- Space-group type: No. 55
- Size of the total moment: 20.0 μB per cell